Below is a geometry-optimized CrMoOF2 structure, with properties calculated at the PBE+U level.

a b c (Å): 4.2329 4.2329 4.1884
angles (deg): 90.00 90.00 90.00
Closest atoms and distances in Å follow each position.
Space group P4/mmm (No. 123)
Unique sites:
Cr: 0.0000 0.0000 0.0000 x1  8 F 2.98, 4 O 2.99
Mo: 0.5000 0.5000 0.5000 x1  2 O 2.09, 4 F 2.12
O: 0.5000 0.5000 0.0000 x1  2 Mo 2.09
F: 0.0000 0.5000 0.5000 x2  2 Mo 2.12

## Properties
As for the energy relative to the lowest polymorph listed for this composition: 0.0 meV/atom. For the raw total energy, the calculation gives -0.2246 hartree per atom.